This record from the Alexandria database describes a relaxed EuZn2Os crystal. The functional is PBE-GGA.

Values from the calculation:
- Formation energy: 0.031 eV per atom
- Symmetry: P2_1/m, No. 11
- Final energy: -5.982 eV per atom

abc: 4.3155 5.5708 7.0993
angles: 90.00 90.00 112.73
Closest atoms and distances in Å follow each position.
Fractional positions:
Eu1 0.5705 0.1425 0.2500  3 Os 2.85-3.15, 6 Zn 3.14-3.19
Eu2 0.4295 0.8575 0.7500  3 Os 2.85-3.15, 6 Zn 3.14-3.19
Zn1 0.8478 0.6939 0.4404  3 Os 2.60-2.63, 1 Zn 2.70
Zn2 0.1522 0.3061 0.5596  3 Os 2.60-2.63, 1 Zn 2.70
Zn3 0.1522 0.3061 0.9404  3 Os 2.60-2.63, 1 Zn 2.70
Zn4 0.8478 0.6939 0.0596  3 Os 2.60-2.63, 1 Zn 2.70
Os1 0.2948 0.5875 0.2500  6 Zn 2.60-2.63, 1 Eu 2.85
Os2 0.7052 0.4125 0.7500  6 Zn 2.60-2.63, 1 Eu 2.85